# 1
This record from the Alexandria database describes crystalline Mn3Os at its relaxed geometry. The functional is PBE.

* DOS at the Fermi energy: 4.57 states/eV/f.u.
* formation energy: 0.0257 eV per atom

a = 2.607 Å, b = 4.095 Å, c = 4.436 Å
α = 90.00°, β = 90.00°, γ = 90.00°
Space group Pmm2 (No. 25)
Unique sites:
Mn 0.000 0.000 0.000 [1 per cell]
Mn 0.000 0.500 0.332 [1 per cell]
Mn 0.500 0.000 0.478 [1 per cell]
Os 0.500 0.500 0.828 [1 per cell]


# 2
This record from the Alexandria database describes crystalline Mn3Os4 at its relaxed geometry. The functional is PBE.

* energy above the most stable polymorph in this dataset: 0.00 kcal/mol of atoms
* DOS at the Fermi energy: 8.86 states/eV/f.u.
* formation energy: 0.1373 eV per atom

a = 2.677 Å, b = 2.677 Å, c = 25.405 Å
α = 90.00°, β = 90.00°, γ = 90.00°
Space group I4/mmm (No. 139)
Unique sites:
Mn 0.000 0.000 0.000 [2 per cell]
Mn 0.000 0.000 0.282 [4 per cell]
Os 0.000 0.000 0.149 [4 per cell]
Os 0.000 0.000 0.429 [4 per cell]